Material: Ag2SnGeCl
Method: DFT, PBE
State: optimized geometry

Output
Polymorph energy (0 for the lowest one) = 0.0 meV per atom
Uncorrected energy = -3.086 eV/atom
Space group = P4/mmm

Cell: 4.965 5.465 4.965 Å, 90.00 90.00 90.00°
Fractional positions:
1 Ag 0.000 0.000 0.500
2 Ag 0.500 0.000 0.000
3 Ge 0.000 0.000 0.000
4 Sn 0.000 0.500 0.000
5 Cl 0.500 0.500 0.500